# Ac4Co3HgO12 | Alexandria via LeMat-Bulk | PBE with a Hubbard U | optimized geometry
data_Ac4Co3HgO12
_chemical_formula_sum 'Ac8 Co6 Hg2 O24'
_cell_length_a 8.1104
_cell_length_b 8.1104
_cell_length_c 8.1104
_cell_angle_alpha 90.00
_cell_angle_beta 90.00
_cell_angle_gamma 90.00
_space_group_name_H-M_alt 'I m -3 m'
_space_group_IT_number 229
_space_group_name_Hall '-I 4 2 3'
loop_
_atom_site_label
_atom_site_fract_x
_atom_site_fract_y
_atom_site_fract_z
Ac1 0.2500 0.2500 0.2500
Co1 0.0000 0.0000 0.5000
Hg1 0.0000 0.0000 0.0000
O1 0.0000 0.0000 0.2703
O2 0.0000 0.2500 0.5000
# DFT total energy, eV for the cell shown: -262.246
# Crystal system: cubic
# Magnetization, μB/cell: 21.2